# 1
This record from the Alexandria database describes a relaxed HgIr3Rh crystal. The functional is PBE.

Computed properties:
crystal system = cubic
energy above the most stable polymorph in this dataset = 0 meV/atom
total DFT energy (no corrections) = -4.99 eV/atom
M_tot = 0.0 μB/cell

Cell: 4.739 4.739 4.739 Å, 90.00 90.00 90.00°
Space group Pm-3m (No. 221)
One atom of each set of equivalent atoms:
Hg1 0.000 0.000 0.000 [1 per cell]
Ir1 0.000 0.500 0.500 [3 per cell]
Rh1 0.500 0.500 0.500 [1 per cell]

***

# 2
This record from the Alexandria database describes a relaxed TlIn2Hg9 crystal. The functional is PBE.

Computed properties:
crystal system = hexagonal
energy above the most stable polymorph in this dataset = 9 meV/atom
total DFT energy (no corrections) = -0.88 eV/atom
M_tot = 0.0 μB/cell

Cell: 10.4998 10.4998 3.4466 Å, 90.00 90.00 120.00°
Space group P6/mmm (No. 191)
One atom of each set of equivalent atoms:
Tl1 0.0000 0.0000 0.0000 [1 per cell]
In1 0.3333 0.6667 0.0000 [2 per cell]
Hg1 0.0000 0.5000 0.0000 [3 per cell]
Hg2 0.1735 0.3470 0.5000 [6 per cell]

***

# 3
This record from the Alexandria database describes a relaxed YTaCo2 crystal. The functional is PBE.

Computed properties:
crystal system = trigonal
total DFT energy (no corrections) = -8.00 eV/atom
M_tot = 0.0 μB/cell

Cell: 3.8009 3.8009 18.0745 Å, 90.00 90.00 120.00°
Space group R3m (No. 160, hexagonal axes)
One atom of each set of equivalent atoms:
Y1 0.0000 0.0000 0.0000 [3 per cell]
Ta1 0.0000 0.0000 0.8108 [3 per cell]
Co1 0.0000 0.0000 0.2181 [3 per cell]
Co2 0.0000 0.0000 0.5529 [3 per cell]